No. 1
Density functional theory data (PBE) for a geometry-optimized CsNa10In3 structure.

a = 11.6527 Å, b = 11.6527 Å, c = 11.6527 Å
α = 60.00°, β = 60.00°, γ = 60.00°
Closest atoms and distances in Å follow each position.
Positions (direct):
Cs 0.2500 0.2500 0.2500  4 Na 4.06
Cs 0.7500 0.7500 0.7500  4 Na 4.06
Na 0.0000 0.0000 0.3302  2 In 3.19
Na 0.0000 0.0000 0.6698  2 In 3.19
Na 0.0000 0.3302 0.0000  2 In 3.19
Na 0.0000 0.3302 0.6698  2 In 3.19
Na 0.0000 0.6698 0.0000  2 In 3.19
Na 0.0000 0.6698 0.3302  2 In 3.19
Na 0.1771 0.6076 0.6076  3 In 3.26, 3 Na 3.55
Na 0.3302 0.0000 0.0000  2 In 3.19
Na 0.3302 0.0000 0.6698  2 In 3.19
Na 0.3302 0.6698 0.0000  2 In 3.19
Na 0.3924 0.3924 0.3924  3 In 3.26, 3 Na 3.55
Na 0.3924 0.3924 0.8229  3 In 3.26, 3 Na 3.55
Na 0.3924 0.8229 0.3924  3 In 3.26, 3 Na 3.55
Na 0.6076 0.1771 0.6076  3 In 3.26, 3 Na 3.55
Na 0.6076 0.6076 0.1771  3 In 3.26, 3 Na 3.55
Na 0.6076 0.6076 0.6076  3 In 3.26, 3 Na 3.55
Na 0.6698 0.0000 0.0000  2 In 3.19
Na 0.6698 0.0000 0.3302  2 In 3.19
Na 0.6698 0.3302 0.0000  2 In 3.19
Na 0.8229 0.3924 0.3924  3 In 3.26, 3 Na 3.55
In 0.2664 0.2664 0.7336  8 Na 3.19-3.26
In 0.2664 0.7336 0.2664  8 Na 3.19-3.26
In 0.2664 0.7336 0.7336  8 Na 3.19-3.26
In 0.7336 0.2664 0.2664  8 Na 3.19-3.26
In 0.7336 0.2664 0.7336  8 Na 3.19-3.26
In 0.7336 0.7336 0.2664  8 Na 3.19-3.26

Properties
Uncorrected energy (eV per atom): -1.58
Energy of formation from the pure elements (eV/atom): 0.014

No. 2
Density functional theory data (PBE) for a geometry-optimized In2GaI4 structure.

a = 8.9735 Å, b = 8.9735 Å, c = 8.3497 Å
α = 116.33°, β = 116.33°, γ = 28.60°
Closest atoms and distances in Å follow each position.
Positions (direct):
In 0.2312 0.2312 0.2319  6 I 3.27-3.48
In 0.7688 0.7688 0.7681  6 I 3.27-3.48
Ga 0.5000 0.5000 0.5000  6 I 3.03-3.15
I 0.1152 0.1152 0.7722  2 Ga 3.15, 3 In 3.42-3.48
I 0.3793 0.3793 0.6709  1 Ga 3.03, 3 In 3.27-3.38
I 0.6207 0.6207 0.3291  1 Ga 3.03, 3 In 3.27-3.38
I 0.8848 0.8848 0.2278  2 Ga 3.15, 3 In 3.42-3.48

Properties
Uncorrected energy (eV per atom): -2.49
Energy relative to the lowest polymorph listed for this composition (eV per atom): 0.000
ΔE_f (raw) (eV per atom): -0.39

No. 3
Density functional theory data (PBE) for a geometry-optimized PrPuTh2Bi4 structure.

a = 7.9579 Å, b = 4.6080 Å, c = 7.9700 Å
α = 90.00°, β = 109.55°, γ = 90.00°
Closest atoms and distances in Å follow each position.
Positions (direct):
Pr 0.0000 0.0000 0.0000  6 Bi 3.26
Pu 0.0000 0.5000 0.5000  6 Bi 3.24
Th 0.5000 0.0000 0.5000  6 Bi 3.24
Th 0.5000 0.5000 0.0000  6 Bi 3.26-3.27
Bi 0.2489 0.0000 0.7472  2 Pu 3.24, 3 Th 3.24-3.27, 1 Pr 3.26
Bi 0.2508 0.5000 0.2525  1 Pu 3.24, 3 Th 3.24-3.26, 2 Pr 3.26
Bi 0.7492 0.5000 0.7475  1 Pu 3.24, 3 Th 3.24-3.26, 2 Pr 3.26
Bi 0.7511 0.0000 0.2528  2 Pu 3.24, 3 Th 3.24-3.27, 1 Pr 3.26

Properties
Uncorrected energy (eV per atom): -6.83
Energy of formation from the pure elements (eV/atom): -0.642

No. 4
Density functional theory data (PBE) for a geometry-optimized CeHo2Th3As6 structure.

a = 9.3831 Å, b = 9.3831 Å, c = 8.3810 Å
α = 102.72°, β = 102.72°, γ = 25.91°
Closest atoms and distances in Å follow each position.
Positions (direct):
Ce 0.0000 0.0000 0.0000  6 As 2.96-2.97
Ho 0.3324 0.3324 0.6654  6 As 2.91-2.94
Ho 0.6676 0.6676 0.3346  6 As 2.91-2.94
Th 0.0000 0.0000 0.5000  6 As 2.98-3.01
Th 0.3337 0.3337 0.1683  6 As 2.98-3.01
Th 0.6663 0.6663 0.8317  6 As 2.98-3.01
As 0.1667 0.1667 0.0890  2 Ho 2.94, 1 Ce 2.97, 3 Th 2.98-3.01
As 0.1688 0.1688 0.5780  3 Ho 2.91-2.93, 3 Th 3.00-3.01
As 0.4973 0.4973 0.7507  1 Ho 2.94, 2 Ce 2.96, 3 Th 2.98-3.01
As 0.5027 0.5027 0.2493  1 Ho 2.94, 2 Ce 2.96, 3 Th 2.98-3.01
As 0.8312 0.8312 0.4220  3 Ho 2.91-2.93, 3 Th 3.00-3.01
As 0.8333 0.8333 0.9110  2 Ho 2.94, 1 Ce 2.97, 3 Th 2.98-3.01

Properties
Uncorrected energy (eV per atom): -6.89
Energy of formation from the pure elements (eV/atom): -1.449

No. 5
Density functional theory data (PBE) for a geometry-optimized Zr2ScSb structure.

a = 5.3587 Å, b = 5.3587 Å, c = 3.3259 Å
α = 90.14°, β = 90.14°, γ = 109.59°
Closest atoms and distances in Å follow each position.
Positions (direct):
Zr 0.0000 0.5000 0.0000  4 Zr 3.09-3.33, 4 Sb 3.15-3.16, 4 Sc 3.15-3.16
Zr 0.5000 0.0000 0.0000  4 Zr 3.09-3.33, 4 Sb 3.15-3.16, 4 Sc 3.15-3.16
Sc 0.0000 0.0000 0.5000  2 Sb 3.09, 8 Zr 3.15-3.16, 2 Sc 3.33
Sb 0.5000 0.5000 0.5000  2 Sc 3.09, 8 Zr 3.15-3.16, 2 Sb 3.33

Properties
Uncorrected energy (eV per atom): -7.21
ΔE_f (raw) (eV per atom): -0.32

No. 6
Density functional theory data (PBE) for a geometry-optimized Ti2ReNF structure.

a = 4.1197 Å, b = 4.1197 Å, c = 3.9709 Å
α = 90.00°, β = 90.00°, γ = 90.00°
Closest atoms and distances in Å follow each position.
Positions (direct):
Ti 0.0000 0.5000 0.0000  2 F 2.06
Ti 0.5000 0.0000 0.0000  2 F 2.06
Re 0.0000 0.0000 0.5000  2 F 1.99
N 0.5000 0.5000 0.5000  8 Ti 2.86, 4 Re 2.91
F 0.0000 0.0000 0.0000  2 Re 1.99, 4 Ti 2.06

Properties
Uncorrected energy (eV per atom): -6.84
ΔE_f (raw) (eV per atom): 0.85

No. 7
Density functional theory data (PBE) for a geometry-optimized Zr2TiW2 structure.

a = 7.0345 Å, b = 7.0345 Å, c = 7.0345 Å
α = 146.79°, β = 146.79°, γ = 47.68°
Closest atoms and distances in Å follow each position.
Positions (direct):
Zr 0.2500 0.7500 0.5000  4 Zr 2.84, 4 W 2.86
Zr 0.7500 0.2500 0.5000  4 Zr 2.84, 4 W 2.86
Ti 0.0000 0.0000 0.0000  8 W 3.08
W 0.4079 0.4079 0.0000  1 W 2.37
W 0.5921 0.5921 0.0000  1 W 2.37

Properties
Uncorrected energy (eV per atom): -9.34
Energy of formation from the pure elements (eV/atom): 0.843
Energy relative to the lowest polymorph listed for this composition (eV per atom): 0.488

No. 8
Density functional theory data (PBE) for a geometry-optimized CaCdFe2Sn structure.

a = 4.7792 Å, b = 4.7792 Å, c = 5.4000 Å
α = 90.00°, β = 90.00°, γ = 90.00°
Closest atoms and distances in Å follow each position.
Positions (direct):
Ca 0.0000 0.0000 0.0000  2 Sn 2.70
Cd 0.5000 0.5000 0.0000  4 Ca 3.38, 8 Fe 3.61
Fe 0.0000 0.5000 0.5000  2 Sn 2.39
Fe 0.5000 0.0000 0.5000  2 Sn 2.39
Sn 0.0000 0.0000 0.5000  4 Fe 2.39

Properties
Uncorrected energy (eV per atom): -3.87
Energy of formation from the pure elements (eV/atom): 0.897

No. 9
Density functional theory data (PBE) for a geometry-optimized Y2ZrCo structure.

a = 3.5449 Å, b = 4.3036 Å, c = 6.2760 Å
α = 90.00°, β = 102.82°, γ = 90.00°
Closest atoms and distances in Å follow each position.
Positions (direct):
Y 0.1075 0.0000 0.2739  2 Co 2.78, 1 Y 3.10
Y 0.8925 0.0000 0.7261  2 Co 2.78, 1 Y 3.10
Zr 0.5000 0.5000 0.0000  2 Co 3.14, 8 Y 3.25
Co 0.5000 0.5000 0.5000  4 Y 2.78

Properties
Uncorrected energy (eV per atom): -6.93
Energy of formation from the pure elements (eV/atom): 0.214
Energy relative to the lowest polymorph listed for this composition (eV per atom): 0.334

No. 10
Density functional theory data (PBE) for a geometry-optimized RbNdTe3Au structure.

a = 9.0019 Å, b = 9.0019 Å, c = 11.4633 Å
α = 90.00°, β = 90.00°, γ = 151.74°
Closest atoms and distances in Å follow each position.
Positions (direct):
Rb 0.2457 0.7543 0.7500  6 Te 3.72-3.78
Rb 0.7543 0.2457 0.2500  6 Te 3.72-3.78
Nd 0.0000 0.0000 0.0000  6 Te 3.18
Nd 0.0000 0.0000 0.5000  6 Te 3.18
Te 0.0784 0.9216 0.2500  2 Au 2.83
Te 0.3752 0.6248 0.0635  1 Au 2.78
Te 0.3752 0.6248 0.4365  1 Au 2.78
Te 0.6248 0.3752 0.5635  1 Au 2.78
Te 0.6248 0.3752 0.9365  1 Au 2.78
Te 0.9216 0.0784 0.7500  2 Au 2.83
Au 0.4765 0.5235 0.2500  4 Te 2.78-2.83
Au 0.5235 0.4765 0.7500  4 Te 2.78-2.83

Properties
Uncorrected energy (eV per atom): -4.00
ΔE_f (raw) (eV per atom): -0.93

No. 11
Density functional theory data (PBE) for a geometry-optimized Cs2SrAcI6 structure.

a = 9.0382 Å, b = 13.0376 Å, c = 9.4024 Å
α = 90.00°, β = 90.00°, γ = 90.00°
Closest atoms and distances in Å follow each position.
Positions (direct):
Cs 0.2500 0.0311 0.2140  7 I 4.19-4.54
Cs 0.2500 0.4689 0.2140  7 I 4.19-4.54
Cs 0.7500 0.5311 0.7860  7 I 4.19-4.54
Cs 0.7500 0.9689 0.7860  7 I 4.19-4.54
Sr 0.2500 0.7500 0.7596  6 I 3.23-3.25
Sr 0.7500 0.2500 0.2404  6 I 3.23-3.25
Ac 0.2500 0.2500 0.7369  6 I 3.27-3.29
Ac 0.7500 0.7500 0.2631  6 I 3.27-3.29
I 0.0008 0.2500 0.9920  1 Sr 3.25, 1 Ac 3.29
I 0.0101 0.2500 0.4762  1 Sr 3.23, 1 Ac 3.27
I 0.2500 0.5007 0.7651  1 Sr 3.25, 1 Ac 3.28
I 0.2500 0.9993 0.7651  1 Sr 3.25, 1 Ac 3.28
I 0.4899 0.2500 0.4762  1 Sr 3.23, 1 Ac 3.27
I 0.4992 0.2500 0.9920  1 Sr 3.25, 1 Ac 3.29
I 0.5008 0.7500 0.0080  1 Sr 3.25, 1 Ac 3.29
I 0.5101 0.7500 0.5238  1 Sr 3.23, 1 Ac 3.27
I 0.7500 0.0007 0.2349  1 Sr 3.25, 1 Ac 3.28
I 0.7500 0.4993 0.2349  1 Sr 3.25, 1 Ac 3.28
I 0.9899 0.7500 0.5238  1 Sr 3.23, 1 Ac 3.27
I 0.9992 0.7500 0.0080  1 Sr 3.25, 1 Ac 3.29

Properties
Uncorrected energy (eV per atom): -3.13
ΔE_f (raw) (eV per atom): -1.45

No. 12
Density functional theory data (PBE) for a geometry-optimized Ho5Er4Tm3 structure.

a = 6.0590 Å, b = 7.0085 Å, c = 8.5652 Å
α = 89.96°, β = 89.95°, γ = 89.92°
Closest atoms and distances in Å follow each position.
Positions (direct):
Ho 0.0000 0.0000 0.0000  4 Ho 3.50, 4 Tm 3.50, 4 Er 3.50
Ho 0.3329 0.5000 0.6664  4 Tm 3.49-3.50, 5 Er 3.49-3.50, 3 Ho 3.49-3.50
Ho 0.5003 0.2500 0.9999  3 Tm 3.50, 6 Ho 3.50, 3 Er 3.50
Ho 0.4997 0.7500 0.0001  3 Tm 3.50, 6 Ho 3.50, 3 Er 3.50
Ho 0.6671 0.5000 0.3336  4 Tm 3.49-3.50, 5 Er 3.49-3.50, 3 Ho 3.49-3.50
Er 0.1665 0.2500 0.3334  4 Tm 3.49-3.50, 5 Ho 3.49-3.50, 3 Er 3.50
Er 0.3335 0.9999 0.6663  4 Er 3.49-3.50, 3 Tm 3.50, 5 Ho 3.50
Er 0.6665 0.0001 0.3337  4 Er 3.49-3.50, 3 Tm 3.50, 5 Ho 3.50
Er 0.8335 0.7500 0.6666  4 Tm 3.49-3.50, 5 Ho 3.49-3.50, 3 Er 3.50
Tm 0.0000 0.5000 0.0000  8 Ho 3.50, 2 Er 3.50, 2 Tm 3.50
Tm 0.1667 0.7500 0.3335  6 Er 3.49-3.50, 5 Ho 3.49-3.50, 1 Tm 3.50
Tm 0.8333 0.2500 0.6665  6 Er 3.49-3.50, 5 Ho 3.49-3.50, 1 Tm 3.50

Properties
Uncorrected energy (eV per atom): -4.52
Energy of formation from the pure elements (eV/atom): 0.023
Energy relative to the lowest polymorph listed for this composition (eV per atom): 0.000

Question: What is the uncorrected energy in the ninth record?
Answer: -6.93 eV per atom